Record 1
The following is a DFT calculation (GGA-PBE) of crystalline Sc2FeNiPb at its relaxed geometry.

Summary:
total magnetization: 2.3 μB/cell
crystal system: tetragonal
E_form: 8.37 kcal/mol of atoms

```
data_Sc2FeNiPb
_space_group_name_H-M_alt 'P 4/m m m'
_space_group_IT_number 123
_space_group_name_Hall '-P 4 2'
_cell_length_a 4.823
_cell_length_b 4.823
_cell_length_c 4.800
_cell_angle_alpha 90.00
_cell_angle_beta 90.00
_cell_angle_gamma 90.00
loop_
_atom_site_label
_atom_site_fract_x
_atom_site_fract_y
_atom_site_fract_z
Sc1 0.000 0.500 0.000
Fe1 0.000 0.000 0.500
Ni1 0.500 0.500 0.000
Pb1 0.500 0.500 0.500
```


Record 2
The following is a DFT calculation (GGA-PBE) of crystalline LaTb2Y6 at its relaxed geometry.

Summary:
total magnetization: 0.0 μB/cell
crystal system: monoclinic
energy above the lowest structure with this stoichiometry: 0 meV/atom
E_form: 2.16 kcal/mol of atoms

```
data_LaTb2Y6
_space_group_name_H-M_alt 'C 1 2/c 1'
_space_group_IT_number 15
_cell_length_a 12.965
_cell_length_b 14.188
_cell_length_c 6.625
_cell_angle_alpha 90.00
_cell_angle_beta 102.65
_cell_angle_gamma 90.00
loop_
_space_group_symop_operation_xyz
'x,y,z'
'-x,-y,-z'
'-x,y,-z+1/2'
'x,-y,z+1/2'
'x+1/2,y+1/2,z'
'-x+1/2,-y+1/2,-z'
'-x+1/2,y+1/2,-z+1/2'
'x+1/2,-y+1/2,z+1/2'
loop_
_atom_site_label
_atom_site_fract_x
_atom_site_fract_y
_atom_site_fract_z
La1 0.000 0.123 0.250
Tb1 0.138 0.475 0.367
Y1 0.035 0.314 0.000
Y2 0.138 0.084 0.819
Y3 0.239 0.300 0.730
```


Record 3
The following is a DFT calculation (GGA-PBE) of crystalline LiNdY2Te4 at its relaxed geometry.

Summary:
total magnetization: 0.0 μB/cell
crystal system: monoclinic
DFT total energy: -5.37 eV/atom

```
data_LiNdY2Te4
_space_group_name_H-M_alt 'P 1 2/m 1'
_space_group_IT_number 10
_cell_length_a 7.617
_cell_length_b 4.365
_cell_length_c 7.621
_cell_angle_alpha 90.00
_cell_angle_beta 109.17
_cell_angle_gamma 90.00
loop_
_space_group_symop_operation_xyz
'x,y,z'
'-x,-y,-z'
'-x,y,-z'
'x,-y,z'
loop_
_atom_site_label
_atom_site_fract_x
_atom_site_fract_y
_atom_site_fract_z
Li1 0.000 0.000 0.000
Nd1 0.000 0.500 0.500
Y1 0.500 0.000 0.500
Y2 0.500 0.500 0.000
Te1 0.248 0.500 0.241
Te2 0.253 0.000 0.761
```


Record 4
The following is a DFT calculation (GGA-PBE) of crystalline CePmSn2 at its relaxed geometry.

Summary:
total magnetization: 1.2 μB/cell
crystal system: tetragonal
E_form: -14.48 kcal/mol of atoms

```
data_CePmSn2
_space_group_name_H-M_alt 'P 4/m m m'
_space_group_IT_number 123
_space_group_name_Hall '-P 4 2'
_cell_length_a 4.994
_cell_length_b 4.994
_cell_length_c 4.487
_cell_angle_alpha 90.00
_cell_angle_beta 90.00
_cell_angle_gamma 90.00
loop_
_atom_site_label
_atom_site_fract_x
_atom_site_fract_y
_atom_site_fract_z
Ce1 0.000 0.000 0.000
Pm1 0.500 0.500 0.000
Sn1 0.000 0.500 0.500
```